A geometry-optimized PrSmNi8B2 structure, computed with PBE-GGA.

abc: 5.051 5.051 7.004
angles: 90.00 90.00 120.00
Atoms (fractional coordinates):
Pr 0.000 0.000 0.000
Sm 0.000 0.000 0.500
Ni 0.000 0.500 0.293
Ni 0.000 0.500 0.707
Ni 0.333 0.667 0.000
Ni 0.500 0.000 0.293
Ni 0.500 0.000 0.707
Ni 0.500 0.500 0.293
Ni 0.500 0.500 0.707
Ni 0.667 0.333 0.000
B 0.333 0.667 0.500
B 0.667 0.333 0.500

Values from the calculation:
- space group = P6/mmm
- raw total energy (eV per atom) = -6.05
- polymorph energy (0 for the lowest one) (eV per atom) = 0.000

A geometry-optimized PrSmNi8B2 structure, computed with PBE-GGA.

abc: 5.070 5.070 7.007
angles: 90.00 90.00 120.00
Atoms (fractional coordinates):
Pr 0.000 0.000 0.000
Sm 0.000 0.000 0.500
Ni 0.000 0.500 0.295
Ni 0.000 0.500 0.705
Ni 0.333 0.667 0.000
Ni 0.500 0.000 0.295
Ni 0.500 0.000 0.705
Ni 0.500 0.500 0.295
Ni 0.500 0.500 0.705
Ni 0.667 0.333 0.000
B 0.333 0.667 0.500
B 0.667 0.333 0.500

Values from the calculation:
- space group = P6/mmm
- raw total energy (eV per atom) = -6.05
- polymorph energy (0 for the lowest one) (eV per atom) = 0.000

A geometry-optimized PrSmNi8B2 structure, computed with PBE-GGA.

abc: 5.089 5.089 7.012
angles: 90.00 90.00 120.00
Atoms (fractional coordinates):
Pr 0.000 0.000 0.000
Sm 0.000 0.000 0.500
Ni 0.000 0.500 0.207
Ni 0.000 0.500 0.793
Ni 0.333 0.667 0.500
Ni 0.500 0.000 0.207
Ni 0.500 0.000 0.793
Ni 0.500 0.500 0.207
Ni 0.500 0.500 0.793
Ni 0.667 0.333 0.500
B 0.333 0.667 0.000
B 0.667 0.333 0.000

Values from the calculation:
- space group = P6/mmm
- raw total energy (eV per atom) = -6.03
- polymorph energy (0 for the lowest one) (eV per atom) = 0.021

A geometry-optimized PrSmNi8B2 structure, computed with PBE-GGA.

abc: 5.055 5.055 7.007
angles: 90.00 90.00 120.00
Atoms (fractional coordinates):
Pr 0.000 0.000 0.000
Sm 0.000 0.000 0.500
Ni 0.000 0.500 0.207
Ni 0.000 0.500 0.793
Ni 0.333 0.667 0.500
Ni 0.500 0.000 0.207
Ni 0.500 0.000 0.793
Ni 0.500 0.500 0.207
Ni 0.500 0.500 0.793
Ni 0.667 0.333 0.500
B 0.333 0.667 0.000
B 0.667 0.333 0.000

Values from the calculation:
- space group = P6/mmm
- raw total energy (eV per atom) = -6.03
- polymorph energy (0 for the lowest one) (eV per atom) = 0.021

A geometry-optimized Ni2BPt structure, computed with PBE-GGA.

abc: 4.457 4.457 7.149
angles: 90.00 90.00 142.75
Atoms (fractional coordinates):
Ni 0.142 0.858 0.569
Ni 0.142 0.858 0.931
Ni 0.858 0.142 0.069
Ni 0.858 0.142 0.431
B 0.281 0.719 0.250
B 0.719 0.281 0.750
Pt 0.422 0.578 0.750
Pt 0.578 0.422 0.250

Values from the calculation:
- space group = Cmcm
- raw total energy (eV per atom) = -6.22

A geometry-optimized Ni3B2Pt structure, computed with PBE-GGA.

abc: 4.533 3.069 4.660
angles: 90.00 92.17 90.00
Atoms (fractional coordinates):
Ni 0.000 0.000 0.000
Ni 0.003 0.500 0.472
Ni 0.509 0.500 0.193
B 0.225 0.500 0.854
B 0.754 0.000 0.338
Pt 0.488 0.000 0.695

Values from the calculation:
- space group = Pm
- raw total energy (eV per atom) = -6.20

A geometry-optimized Ni2BPt structure, computed with PBE-GGA.

abc: 3.958 3.958 3.958
angles: 60.00 60.00 60.00
Atoms (fractional coordinates):
Ni 0.000 0.000 0.000
Ni 0.250 0.250 0.250
B 0.750 0.750 0.750
Pt 0.500 0.500 0.500

Values from the calculation:
- space group = F-43m
- raw total energy (eV per atom) = -5.77

A geometry-optimized NiB2Pt3 structure, computed with PBE-GGA.

abc: 4.221 3.226 5.479
angles: 90.00 91.31 90.00
Atoms (fractional coordinates):
Ni 0.000 0.000 0.000
B 0.209 0.500 0.172
B 0.725 0.000 0.672
Pt 0.000 0.500 0.525
Pt 0.493 0.000 0.316
Pt 0.512 0.500 0.863

Values from the calculation:
- space group = Pm
- raw total energy (eV per atom) = -6.41

A geometry-optimized ReNiBPt structure, computed with PBE-GGA.

abc: 4.155 4.155 4.155
angles: 60.00 60.00 60.00
Atoms (fractional coordinates):
Re 0.000 0.000 0.000
Ni 0.750 0.750 0.750
B 0.500 0.500 0.500
Pt 0.250 0.250 0.250

Values from the calculation:
- space group = F-43m
- raw total energy (eV per atom) = -6.84
- polymorph energy (0 for the lowest one) (eV per atom) = 0.517

A geometry-optimized ReNiBPt structure, computed with PBE-GGA.

abc: 4.056 4.056 4.056
angles: 60.00 60.00 60.00
Atoms (fractional coordinates):
Re 0.000 0.000 0.000
Ni 0.750 0.750 0.750
B 0.250 0.250 0.250
Pt 0.500 0.500 0.500

Values from the calculation:
- space group = F-43m
- raw total energy (eV per atom) = -7.36
- polymorph energy (0 for the lowest one) (eV per atom) = 0.000

A geometry-optimized ScNiBPt structure, computed with PBE-GGA.

abc: 4.258 4.258 4.258
angles: 60.00 60.00 60.00
Atoms (fractional coordinates):
Sc 0.000 0.000 0.000
Ni 0.500 0.500 0.500
B 0.250 0.250 0.250
Pt 0.750 0.750 0.750

Values from the calculation:
- space group = F-43m
- raw total energy (eV per atom) = -6.16
- polymorph energy (0 for the lowest one) (eV per atom) = 0.203

A geometry-optimized ScNiBPt structure, computed with PBE-GGA.

abc: 4.197 4.197 4.197
angles: 60.00 60.00 60.00
Atoms (fractional coordinates):
Sc 0.000 0.000 0.000
Ni 0.750 0.750 0.750
B 0.500 0.500 0.500
Pt 0.250 0.250 0.250

Values from the calculation:
- space group = F-43m
- raw total energy (eV per atom) = -6.27
- polymorph energy (0 for the lowest one) (eV per atom) = 0.088

A geometry-optimized ScNiBPt structure, computed with PBE-GGA.

abc: 4.193 4.193 4.193
angles: 60.00 60.00 60.00
Atoms (fractional coordinates):
Sc 0.000 0.000 0.000
Ni 0.250 0.250 0.250
B 0.750 0.750 0.750
Pt 0.500 0.500 0.500

Values from the calculation:
- space group = F-43m
- raw total energy (eV per atom) = -6.36
- polymorph energy (0 for the lowest one) (eV per atom) = 0.000

A geometry-optimized SmNi3BPt structure, computed with PBE-GGA.

abc: 5.146 5.146 7.168
angles: 90.00 90.00 120.00
Atoms (fractional coordinates):
Sm 0.000 0.000 0.000
Sm 0.000 0.000 0.500
Ni 0.000 0.500 0.195
Ni 0.000 0.500 0.805
Ni 0.500 0.000 0.195
Ni 0.500 0.000 0.805
Ni 0.500 0.500 0.195
Ni 0.500 0.500 0.805
B 0.333 0.667 0.000
B 0.667 0.333 0.000
Pt 0.333 0.667 0.500
Pt 0.667 0.333 0.500

Values from the calculation:
- space group = P6/mmm
- raw total energy (eV per atom) = -6.29

A geometry-optimized Ta2NiB2Pt structure, computed with PBE-GGA.

abc: 2.754 11.181 11.181
angles: 14.74 90.00 90.00
Atoms (fractional coordinates):
Ta 0.000 0.000 0.000
Ta 0.000 0.122 0.122
Ni 0.000 0.726 0.726
B 0.000 0.283 0.283
B 0.000 0.820 0.820
Pt 0.000 0.389 0.389

Values from the calculation:
- space group = Amm2
- raw total energy (eV per atom) = -7.59

A geometry-optimized TcNiBPt structure, computed with PBE-GGA.

abc: 4.118 4.118 4.118
angles: 60.00 60.00 60.00
Atoms (fractional coordinates):
Tc 0.000 0.000 0.000
Ni 0.500 0.500 0.500
B 0.250 0.250 0.250
Pt 0.750 0.750 0.750

Values from the calculation:
- space group = F-43m
- raw total energy (eV per atom) = -6.71
- polymorph energy (0 for the lowest one) (eV per atom) = 0.255

A geometry-optimized TcNiBPt structure, computed with PBE-GGA.

abc: 4.049 4.049 4.049
angles: 60.00 60.00 60.00
Atoms (fractional coordinates):
Tc 0.000 0.000 0.000
Ni 0.250 0.250 0.250
B 0.750 0.750 0.750
Pt 0.500 0.500 0.500

Values from the calculation:
- space group = F-43m
- raw total energy (eV per atom) = -6.97
- polymorph energy (0 for the lowest one) (eV per atom) = 0.000

A geometry-optimized ZrNiBPt structure, computed with PBE-GGA.

abc: 4.230 4.230 4.230
angles: 60.00 60.00 60.00
Atoms (fractional coordinates):
Zr 0.000 0.000 0.000
Ni 0.250 0.250 0.250
B 0.750 0.750 0.750
Pt 0.500 0.500 0.500

Values from the calculation:
- space group = F-43m
- raw total energy (eV per atom) = -6.93
- polymorph energy (0 for the lowest one) (eV per atom) = 0.000

A geometry-optimized ZrNiBPt structure, computed with PBE-GGA.

abc: 4.307 4.307 4.307
angles: 60.00 60.00 60.00
Atoms (fractional coordinates):
Zr 0.000 0.000 0.000
Ni 0.750 0.750 0.750
B 0.500 0.500 0.500
Pt 0.250 0.250 0.250

Values from the calculation:
- space group = F-43m
- raw total energy (eV per atom) = -6.69
- polymorph energy (0 for the lowest one) (eV per atom) = 0.235

A geometry-optimized PuNi12B6 structure, computed with PBE-GGA.

abc: 6.011 6.011 6.011
angles: 104.42 104.42 104.42
Atoms (fractional coordinates):
Pu 0.000 0.000 0.000
Ni 0.130 0.500 0.870
Ni 0.130 0.870 0.500
Ni 0.186 0.452 0.452
Ni 0.452 0.186 0.452
Ni 0.452 0.452 0.186
Ni 0.500 0.130 0.870
Ni 0.500 0.870 0.130
Ni 0.548 0.548 0.814
Ni 0.548 0.814 0.548
Ni 0.814 0.548 0.548
Ni 0.870 0.130 0.500
Ni 0.870 0.500 0.130
B 0.234 0.234 0.671
B 0.234 0.671 0.234
B 0.329 0.766 0.766
B 0.671 0.234 0.234
B 0.766 0.329 0.766
B 0.766 0.766 0.329

Values from the calculation:
- space group = R-3m
- raw total energy (eV per atom) = -6.60